{
  "formula": "LiMnF3",
  "functional": "PBE+U",
  "state": "optimized geometry",
  "lattice_angstrom": [[-4.401, -2.409, 0.129], [2.076, -3.958, -3.057], [2.576, -4.313, 7.334]],
  "species": ["Mn", "F", "Mn", "Mn", "F", "F", "Mn", "F", "Li", "Li", "F", "F", "Li", "F", "F", "F", "Li", "F", "F", "F"],
  "frac_coords": [[0.500, 0.250, 0.096], [0.750, 0.447, 0.250], [0.000, 0.250, 0.404], [0.000, 0.750, 0.596], [0.715, 0.410, 0.907], [0.750, 0.947, 0.750], [0.500, 0.750, 0.904], [0.215, 0.590, 0.407], [0.000, 0.250, 0.794], [0.500, 0.250, 0.706], [0.785, 0.910, 0.407], [0.715, 0.910, 0.093], [0.000, 0.750, 0.206], [0.285, 0.090, 0.907], [0.215, 0.090, 0.593], [0.785, 0.410, 0.593], [0.500, 0.750, 0.294], [0.285, 0.590, 0.093], [0.250, 0.553, 0.750], [0.250, 0.053, 0.250]],
  "polymorph_energy_mev_per_atom": 3.1,
  "e_tot_ev_per_cell": -115.39,
  "vol_a3_per_atom": 12.08,
  "n_ef_per_ev_atom": 0.000,
  "magnetic_moment_mub_per_cell": 20.000,
  "crystal_system": "orthorhombic"
}